Here is an optimized crystal structure of UNiO4F from Alexandria. Energies are from GGA+U.

```
UNiO4F
1.0
6.4309 0.0000 0.0000
0.0000 4.4638 0.0000
-1.8586 0.0000 6.6457
U Ni O F
2 2 8 2
Direct
0.0328 0.2500 0.2680
0.9672 0.7500 0.7320
0.3631 0.7500 0.5632
0.6369 0.2500 0.4368
0.0085 0.7500 0.4303
0.2722 0.7500 0.8179
0.3342 0.0161 0.3296
0.3342 0.4839 0.3296
0.6658 0.5161 0.6704
0.6658 0.9839 0.6704
0.7278 0.2500 0.1821
0.9915 0.2500 0.5697
0.0470 0.2500 0.9453
0.9530 0.7500 0.0547
```

Summary:
Total moment = 1.8 μB per formula unit
ρ = 6.610 Mg/m³
Space-group type = P2_1/m, No. 11
VASP energy = -7.07 eV/atom